{"formula": "W3C5", "functional": "PBE-GGA", "state": "optimized geometry", "delta_e_f_ev_per_atom": 0.79, "energy_ev_per_atom": -9.83, "de_polymorph_ev_per_atom": 0.000, "lattice": [[-7.024, -1.994, -3.230], [2.474, -0.614, 6.379], [-1.508, 3.777, 0.948]], "species": ["C", "C", "C", "C", "C", "C", "C", "C", "C", "C", "W", "W", "W", "W", "W", "W"], "frac_coords": [[0.787, 0.026, 0.750], [0.020, 0.239, 0.250], [0.680, 0.707, 0.250], [0.320, 0.293, 0.750], [0.213, 0.974, 0.250], [0.325, 0.706, 0.418], [0.325, 0.706, 0.082], [0.675, 0.294, 0.918], [0.675, 0.294, 0.582], [0.980, 0.761, 0.750], [0.114, 0.376, 0.750], [0.688, 0.052, 0.250], [0.886, 0.624, 0.250], [0.328, 0.337, 0.250], [0.312, 0.948, 0.750], [0.672, 0.663, 0.750]]}